The following is a PBE calculation of a relaxed structure of LaNbRh2Au, from the Alexandria database.

Results
DOS(E_F) = 2.20 states/eV/atom
Energy of formation = 1.265 eV per atom
Size of the total moment = 0.0 μB per formula unit

a b c (Å): 4.7762 4.7762 5.4355
angles (deg): 90.00 90.00 90.00
Closest atoms and distances in Å follow each position.
Space group P4/mmm (No. 123)
Asymmetric unit:
La1 0.0000 0.0000 0.0000  4 Rh 2.39
Nb1 0.5000 0.5000 0.5000  4 Au 3.38, 8 Rh 3.62
Rh1 0.0000 0.5000 0.0000  2 La 2.39
Au1 0.0000 0.0000 0.5000  2 La 2.72

The following is a PBE calculation of a relaxed structure of La2NbTcAu, from the Alexandria database.

Results
DOS(E_F) = 1.86 states/eV/atom
Energy of formation = 1.239 eV per atom
Size of the total moment = 0.0 μB per formula unit

a b c (Å): 5.4056 5.4056 4.9685
angles (deg): 90.00 90.00 90.00
Closest atoms and distances in Å follow each position.
Space group P4/mmm (No. 123)
Asymmetric unit:
La1 0.0000 0.5000 0.0000  2 Nb 2.70
Nb1 0.0000 0.0000 0.0000  2 Au 2.48, 4 La 2.70
Tc1 0.5000 0.5000 0.5000  8 La 3.67, 4 Au 3.82
Au1 0.0000 0.0000 0.5000  2 Nb 2.48

The following is a PBE calculation of a relaxed structure of LaYNbAu2, from the Alexandria database.

Results
DOS(E_F) = 0.73 states/eV/atom
Energy of formation = 1.087 eV per atom
Size of the total moment = 3.6 μB per formula unit

a b c (Å): 5.2224 5.2224 5.7479
angles (deg): 90.00 90.00 90.00
Closest atoms and distances in Å follow each position.
Space group P4/mmm (No. 123)
Asymmetric unit:
La1 0.0000 0.0000 0.0000  2 Y 2.87
Y1 0.0000 0.0000 0.5000  4 Au 2.61, 2 La 2.87
Nb1 0.5000 0.5000 0.0000  4 La 3.69, 8 Au 3.88
Au1 0.0000 0.5000 0.5000  2 Y 2.61

The following is a PBE calculation of a relaxed structure of La2NdAu, from the Alexandria database.

Results
DOS(E_F) = 1.41 states/eV/atom
Energy of formation = -0.370 eV per atom
Size of the total moment = 0.0 μB per formula unit
Distance to the lowest polymorph of the same formula = 4.35 kJ per mole of atoms

a b c (Å): 3.8136 3.8136 8.6996
angles (deg): 90.00 90.00 90.00
Closest atoms and distances in Å follow each position.
Space group P4/mmm (No. 123)
Asymmetric unit:
La1 0.0000 0.0000 0.2100  4 Au 3.26
Nd1 0.5000 0.5000 0.5000  8 La 3.69, 4 Nd 3.81
Au1 0.5000 0.5000 0.0000  8 La 3.26

The following is a PBE calculation of a relaxed structure of LaNd3Au2, from the Alexandria database.

Results
DOS(E_F) = 1.13 states/eV/atom
Energy of formation = -0.460 eV per atom
Size of the total moment = 0.0 μB per formula unit
Distance to the lowest polymorph of the same formula = 8.90 kJ per mole of atoms

a b c (Å): 16.5504 5.3215 9.0311
angles (deg): 90.00 116.43 90.00
Closest atoms and distances in Å follow each position.
Space group C2/m (No. 12)
Asymmetric unit:
La1 0.1304 0.0000 0.2000  5 Au 3.27-3.51, 3 Nd 3.55-3.56
Nd1 0.0627 0.0000 0.7240  3 Au 3.22-3.28, 1 La 3.56
Nd2 0.1228 0.5000 0.5196  4 Au 2.94-3.21
Nd3 0.1941 0.5000 0.0131  2 Au 2.95-3.10
Au1 0.0045 0.5000 0.1619  1 Au 2.86, 2 Nd 2.94-2.95
Au2 0.2226 0.0000 0.6041  5 Nd 3.04-3.28, 1 La 3.27

The following is a PBE calculation of a relaxed structure of LaNd2Au6, from the Alexandria database.

Results
DOS(E_F) = 0.85 states/eV/atom
Energy of formation = -0.772 eV per atom
Size of the total moment = 0.0 μB per formula unit

a b c (Å): 8.2682 8.2682 3.6459
angles (deg): 90.00 90.00 120.00
Closest atoms and distances in Å follow each position.
Space group P6/mmm (No. 191)
Asymmetric unit:
La1 0.0000 0.0000 0.0000  12 Au 3.31, 2 La 3.65
Nd1 0.3333 0.6667 0.0000  12 Au 3.30, 2 Nd 3.65
Au1 0.0000 0.3339 0.5000  3 Au 2.75-2.76

The following is a PBE calculation of a relaxed structure of La2NdAu, from the Alexandria database.

Results
DOS(E_F) = 1.11 states/eV/atom
Energy of formation = -0.415 eV per atom
Size of the total moment = 0.0 μB per formula unit
Distance to the lowest polymorph of the same formula = 0.00 kJ per mole of atoms

a b c (Å): 3.8993 10.3565 6.5624
angles (deg): 90.00 107.24 90.00
Closest atoms and distances in Å follow each position.
Space group P2_1/m (No. 11)
Asymmetric unit:
La1 0.1334 0.0492 0.2671  2 Au 3.11
Nd1 0.4313 0.2500 0.8641  2 Au 3.17
Au1 0.2673 0.7500 0.5339  4 La 3.11, 2 Nd 3.17

The following is a PBE calculation of a relaxed structure of La5NdAu4, from the Alexandria database.

Results
DOS(E_F) = 1.10 states/eV/atom
Energy of formation = -0.618 eV per atom
Size of the total moment = 0.0 μB per formula unit

a b c (Å): 3.7823 3.7823 20.2053
angles (deg): 90.00 90.00 90.00
Closest atoms and distances in Å follow each position.
Space group P4/mmm (No. 123)
Asymmetric unit:
La1 0.0000 0.0000 0.0000  8 Au 3.28
La2 0.0000 0.0000 0.1878  8 Au 3.28-3.29
La3 0.0000 0.0000 0.3726  4 Au 3.23
Nd1 0.5000 0.5000 0.5000  8 La 3.71, 4 Nd 3.78
Au1 0.5000 0.5000 0.0938  8 La 3.28
Au2 0.5000 0.5000 0.2828  8 La 3.23-3.29